Record 1
A relaxed structure of Cs3Zn2H7, computed with PBE.

```
Cs3Zn2H7
1.0
-1.9937 -3.4987 -0.9945
3.2548 -1.1780 -2.3805
3.1703 -4.7622 10.3979
Cs H Zn
3 7 2
direct
0.5000 0.5000 0.0000
0.5000 0.3263 0.6526
0.5000 0.6737 0.3474
0.0000 0.4128 0.8256
0.0000 0.5872 0.1744
0.0000 0.0000 0.0000
0.5000 0.9131 0.8262
0.0000 0.1613 0.3227
0.5000 0.0869 0.1738
0.0000 0.8387 0.6773
0.0000 0.9133 0.8265
0.0000 0.0867 0.1735
```

Results
E ... -2.41 eV per atom

---

Record 2
A relaxed structure of Nb2BiMo2, computed with PBE.

```
Nb2BiMo2
1.0
4.3265 0.0000 0.0000
0.0000 4.3265 0.0000
2.1632 2.1632 5.6009
Nb Mo Bi
2 2 1
direct
0.2500 0.7500 0.5000
0.7500 0.2500 0.5000
0.6129 0.6129 0.7742
0.3871 0.3871 0.2258
0.0000 0.0000 0.0000
```

Results
Energy relative to the lowest polymorph listed for this composition ... 0.49 eV/f.u.
E ... -8.50 eV per atom
Energy of formation from the pure elements ... 0.639 eV per atom

---

Record 3
A relaxed structure of CoOsSe2, computed with PBE.

```
CoOsSe2
1.0
4.3697 0.0156 0.1657
2.7696 3.3800 0.1657
-0.6408 -0.3048 6.2529
Co Se Os
1 2 1
direct
0.5182 0.5182 0.3308
0.7025 0.7025 0.6431
0.0349 0.0349 0.1172
0.2444 0.2444 0.4088
```

Results
Energy relative to the lowest polymorph listed for this composition ... 0.83 eV/f.u.
Formation energy without anion corrections ... 15.0 kJ per mole of atoms
E ... -6.17 eV per atom

---

Record 4
A relaxed structure of Li3MnPt, computed with PBE.

```
Li3MnPt
1.0
4.6577 0.0000 0.0000
0.0000 4.6577 0.0000
0.0000 0.0000 4.6577
Mn Li Pt
1 3 1
direct
0.5000 0.5000 0.5000
0.0000 0.0000 0.5000
0.5000 0.0000 0.0000
0.0000 0.5000 0.0000
0.0000 0.0000 0.0000
```

Results
Energy relative to the lowest polymorph listed for this composition ... 0.00 eV/f.u.
E ... -3.90 eV per atom
Energy of formation from the pure elements ... 0.290 eV per atom

---

Record 5
A relaxed structure of CePr3Ho6Er2, computed with PBE.

```
CePr3Ho6Er2
1.0
-2.4242 -0.5091 5.6752
6.0350 -1.0596 -0.8940
1.0592 11.7384 0.3802
Pr Ce Ho Er
3 1 6 2
direct
0.1677 0.8323 0.5000
0.5000 0.5000 0.5000
0.8323 0.1677 0.5000
0.0000 0.0000 0.0000
0.4131 0.0820 0.2450
0.2493 0.2493 0.7546
0.9180 0.5869 0.7550
0.5869 0.9180 0.7550
0.0820 0.4131 0.2450
0.7507 0.7507 0.2454
0.3333 0.6667 0.0000
0.6667 0.3333 0.0000
```

Results
E ... -4.70 eV per atom
Energy of formation from the pure elements ... 0.037 eV per atom

---

Record 6
A relaxed structure of CrN2, computed with PBE.

```
CrN2
1.0
2.5852 0.0000 0.0000
0.0000 2.7134 0.0000
0.0000 0.0000 7.2341
N Cr
4 2
direct
0.0000 0.0000 0.9369
0.0000 0.5000 0.4369
0.0000 0.5000 0.2568
0.0000 0.0000 0.7568
0.5000 0.5000 0.0673
0.5000 0.0000 0.5673
```

Results
Formation energy without anion corrections ... 7.3 kJ per mole of atoms
E ... -8.68 eV per atom

---

Record 7
A relaxed structure of Ca4GaRh4, computed with PBE.

```
Ca4GaRh4
1.0
5.7669 0.0000 0.0000
0.0000 8.4627 0.0000
0.0000 0.0000 8.4628
Rh Ga Ca
8 2 8
direct
0.8881 0.3696 0.4874
0.1119 0.6304 0.5126
0.6119 0.4874 0.1304
0.6119 0.0126 0.3696
0.3881 0.5126 0.8696
0.8881 0.1304 0.0126
0.1119 0.8696 0.9874
0.3881 0.9874 0.6304
0.2500 0.7500 0.7500
0.7500 0.2500 0.2500
0.8837 0.0395 0.6815
0.1163 0.9605 0.3185
0.3837 0.1815 0.9605
0.6163 0.6815 0.4605
0.8837 0.4605 0.8185
0.6163 0.8185 0.0395
0.3837 0.3185 0.5395
0.1163 0.5395 0.1815
```

Results
E ... -4.86 eV per atom
Energy of formation from the pure elements ... -0.369 eV per atom

---

Record 8
A relaxed structure of Li3MoI, computed with PBE.

```
Li3MoI
1.0
-4.7925 0.5676 1.9204
0.6751 -4.2314 2.9355
1.8852 2.9582 3.8305
Li I Mo
3 1 1
direct
0.0000 0.0000 0.5000
0.0000 0.5000 0.0000
0.5000 0.0000 0.0000
0.0000 0.0000 0.0000
0.5000 0.5000 0.5000
```

Results
Energy relative to the lowest polymorph listed for this composition ... 0.00 eV/f.u.
Formation energy without anion corrections ... 66.4 kJ per mole of atoms
E ... -2.94 eV per atom